A relaxed structure of PaMnCo2O8, computed with GGA+U.

For the calculated volume, the calculation gives 13.0 Å³ per atom. As for the density of states at the Fermi level: 2.6 states/eV/f.u. The raw total energy comes out at -7.10 eV/atom.

The structure belongs to space group I-4m2 (No. 119); the cell edges are 6.9544, 6.9544 and 6.4546 Å and the angles 90.00°, 90.00° and 90.00°. The distinct sites, in fractional coordinates, are Pa at (0.0000, 0.0000, 0.0000), Mn at (0.0000, 0.5000, 0.2500), Co at (0.0000, 0.0000, 0.5000), Co at (0.0000, 0.5000, 0.7500), O at (0.0000, 0.1810, 0.3142) and O at (0.0000, 0.3089, 0.9342).